1.
{"formula": "Na2Sb2As2Pd5", "functional": "PBE", "state": "relaxed", "mass_density_g_cm3": 5.68, "formation_energy_uncorrected_mev_per_atom": -219, "total_magnetization_mub_per_cell": 0.00, "cell": [[-2.308, 2.308, 13.344], [2.308, -2.308, 13.344], [2.308, 2.308, -13.344]], "species": ["Na", "Na", "Sb", "Sb", "As", "As", "Pd", "Pd", "Pd", "Pd", "Pd"], "frac_coords": [[0.206, 0.206, 0.000], [0.794, 0.794, 0.000], [0.327, 0.327, 0.000], [0.673, 0.673, 0.000], [0.088, 0.088, 0.000], [0.912, 0.912, 0.000], [0.000, 0.000, 0.000], [0.122, 0.622, 0.500], [0.378, 0.878, 0.500], [0.622, 0.122, 0.500], [0.878, 0.378, 0.500]]}

2.
{"formula": "Na2Si2AsPd5", "functional": "PBE", "state": "relaxed", "mass_density_g_cm3": 6.95, "formation_energy_uncorrected_mev_per_atom": -479, "total_magnetization_mub_per_cell": 0.00, "cell": [[10.582, 0.000, 0.000], [0.000, 10.582, 0.000], [0.000, 0.000, 3.028]], "species": ["Na", "Na", "Na", "Na", "Si", "Si", "Si", "Si", "As", "As", "Pd", "Pd", "Pd", "Pd", "Pd", "Pd", "Pd", "Pd", "Pd", "Pd"], "frac_coords": [[0.172, 0.328, 0.000], [0.328, 0.828, 0.000], [0.672, 0.172, 0.000], [0.828, 0.672, 0.000], [0.130, 0.630, 0.000], [0.370, 0.130, 0.000], [0.630, 0.870, 0.000], [0.870, 0.370, 0.000], [0.000, 0.000, 0.000], [0.500, 0.500, 0.000], [0.000, 0.500, 0.500], [0.069, 0.798, 0.500], [0.202, 0.069, 0.500], [0.298, 0.569, 0.500], [0.431, 0.298, 0.500], [0.500, 0.000, 0.500], [0.569, 0.702, 0.500], [0.702, 0.431, 0.500], [0.798, 0.931, 0.500], [0.931, 0.202, 0.500]]}

3.
{"formula": "Na3SnAs2Pd9", "functional": "PBE", "state": "relaxed", "mass_density_g_cm3": 6.48, "formation_energy_ev_per_atom": -0.2057, "total_magnetization_mub_per_cell": 0.00, "cell": [[6.556, 0.000, 0.000], [-3.278, 5.678, 0.000], [0.000, 0.000, 8.918]], "species": ["Na", "Na", "Na", "Sn", "As", "As", "Pd", "Pd", "Pd", "Pd", "Pd", "Pd", "Pd", "Pd", "Pd"], "frac_coords": [[0.000, 0.000, 0.000], [0.333, 0.667, 0.704], [0.667, 0.333, 0.296], [0.000, 0.000, 0.500], [0.333, 0.667, 0.174], [0.667, 0.333, 0.826], [0.000, 0.500, 0.000], [0.139, 0.278, 0.261], [0.139, 0.861, 0.261], [0.278, 0.139, 0.739], [0.500, 0.000, 0.000], [0.500, 0.500, 0.000], [0.722, 0.861, 0.261], [0.861, 0.139, 0.739], [0.861, 0.722, 0.739]]}

4.
{"formula": "NaSr2As3Pd4", "functional": "PBE", "state": "relaxed", "mass_density_g_cm3": 6.80, "formation_energy_ev_per_atom": -0.7175, "total_magnetization_mub_per_cell": 0.00, "cell": [[4.438, 0.000, 0.000], [0.000, 4.438, 0.000], [0.000, 0.000, 10.526]], "species": ["Na", "Sr", "Sr", "As", "As", "As", "Pd", "Pd", "Pd", "Pd"], "frac_coords": [[0.000, 0.000, 0.000], [0.000, 0.500, 0.741], [0.500, 0.000, 0.259], [0.000, 0.500, 0.374], [0.500, 0.000, 0.626], [0.500, 0.500, 0.000], [0.000, 0.000, 0.500], [0.000, 0.500, 0.141], [0.500, 0.000, 0.859], [0.500, 0.500, 0.500]]}

5.
{"formula": "Na2SrAs2Pd", "functional": "PBE", "state": "relaxed", "mass_density_g_cm3": 3.75, "formation_energy_ev_per_atom": -0.3348, "total_magnetization_mub_per_cell": 0.00, "cell": [[5.600, 0.000, 0.000], [0.000, 5.600, 0.000], [0.000, 0.000, 10.995]], "species": ["Na", "Na", "Na", "Na", "Sr", "Sr", "As", "As", "As", "As", "Pd", "Pd"], "frac_coords": [[0.000, 0.500, 0.250], [0.000, 0.500, 0.750], [0.500, 0.000, 0.250], [0.500, 0.000, 0.750], [0.000, 0.000, 0.000], [0.500, 0.500, 0.500], [0.000, 0.000, 0.287], [0.000, 0.000, 0.713], [0.500, 0.500, 0.213], [0.500, 0.500, 0.787], [0.000, 0.000, 0.500], [0.500, 0.500, 0.000]]}

6.
{"formula": "NaSrAs2Pd5", "functional": "PBE", "state": "relaxed", "mass_density_g_cm3": 7.52, "formation_energy_ev_per_atom": -0.4824, "total_magnetization_mub_per_cell": 0.00, "cell": [[4.533, 0.000, 0.000], [0.000, 4.533, 0.000], [0.000, 0.000, 8.515]], "species": ["Na", "Sr", "As", "As", "Pd", "Pd", "Pd", "Pd", "Pd"], "frac_coords": [[0.000, 0.000, 0.000], [0.000, 0.000, 0.500], [0.500, 0.500, 0.156], [0.500, 0.500, 0.844], [0.000, 0.500, 0.264], [0.000, 0.500, 0.736], [0.500, 0.000, 0.264], [0.500, 0.000, 0.736], [0.500, 0.500, 0.500]]}

7.
{"formula": "Na2Sr2As4Pd", "functional": "PBE", "state": "relaxed", "mass_density_g_cm3": 4.81, "formation_energy_ev_per_atom": -0.5866, "total_magnetization_mub_per_cell": 0.00, "cell": [[-3.436, 3.436, 4.585], [3.436, -3.436, 4.585], [3.436, 3.436, -4.585]], "species": ["Na", "Na", "Sr", "Sr", "As", "As", "As", "As", "Pd"], "frac_coords": [[0.197, 0.197, 0.000], [0.803, 0.803, 0.000], [0.250, 0.750, 0.500], [0.750, 0.250, 0.500], [0.242, 0.242, 0.484], [0.242, 0.758, 0.000], [0.758, 0.242, 0.000], [0.758, 0.758, 0.516], [0.500, 0.500, 0.000]]}

8.
{"formula": "NaSrAs2Pd", "functional": "PBE", "state": "relaxed", "mass_density_g_cm3": 5.36, "formation_energy_ev_per_atom": -0.6412, "total_magnetization_mub_per_cell": 0.00, "cell": [[5.826, 0.000, 0.000], [0.000, 6.023, 0.000], [0.000, 0.000, 6.481]], "species": ["Na", "Na", "Sr", "Sr", "As", "As", "As", "As", "Pd", "Pd"], "frac_coords": [[0.250, 0.000, 0.105], [0.750, 0.000, 0.895], [0.250, 0.500, 0.285], [0.750, 0.500, 0.715], [0.250, 0.260, 0.730], [0.250, 0.740, 0.730], [0.750, 0.260, 0.270], [0.750, 0.740, 0.270], [0.000, 0.000, 0.500], [0.500, 0.000, 0.500]]}

9.
{"formula": "NaSr2As4Pd3", "functional": "PBE", "state": "relaxed", "mass_density_g_cm3": 6.31, "formation_energy_ev_per_atom": -0.7061, "total_magnetization_mub_per_cell": 0.00, "cell": [[4.484, 0.000, 0.000], [0.000, 4.484, 0.000], [0.000, 0.000, 10.692]], "species": ["Na", "Sr", "Sr", "As", "As", "As", "As", "Pd", "Pd", "Pd"], "frac_coords": [[0.000, 0.000, 0.000], [0.000, 0.500, 0.744], [0.500, 0.000, 0.256], [0.000, 0.000, 0.500], [0.000, 0.500, 0.149], [0.500, 0.000, 0.851], [0.500, 0.500, 0.500], [0.000, 0.500, 0.384], [0.500, 0.000, 0.616], [0.500, 0.500, 0.000]]}

10.
{"formula": "NaSrAs2Pd2", "functional": "PBE", "state": "relaxed", "mass_density_g_cm3": 6.32, "formation_energy_ev_per_atom": -0.6440, "total_magnetization_mub_per_cell": 0.00, "cell": [[4.455, 0.000, 0.000], [-2.227, 3.858, 0.000], [0.000, 0.000, 7.236]], "species": ["Na", "Sr", "As", "As", "Pd", "Pd"], "frac_coords": [[0.000, 0.000, 0.000], [0.000, 0.000, 0.500], [0.333, 0.667, 0.790], [0.667, 0.333, 0.210], [0.333, 0.667, 0.177], [0.667, 0.333, 0.823]]}

11.
{"formula": "NaTc2AsPd", "functional": "PBE", "state": "relaxed", "mass_density_g_cm3": 6.56, "formation_energy_ev_per_atom": 2.1532, "total_magnetization_mub_per_cell": 5.79, "cell": [[4.654, 0.000, 0.000], [0.000, 4.654, 0.000], [0.000, 0.000, 4.679]], "species": ["Na", "Tc", "Tc", "As", "Pd"], "frac_coords": [[0.000, 0.000, 0.000], [0.000, 0.500, 0.000], [0.500, 0.000, 0.000], [0.000, 0.000, 0.500], [0.500, 0.500, 0.500]]}

12.
{"formula": "Na3TeAs2Pd9", "functional": "PBE", "state": "relaxed", "mass_density_g_cm3": 6.53, "formation_energy_uncorrected_mev_per_atom": -217, "total_magnetization_mub_per_cell": 0.00, "cell": [[6.596, 0.000, 0.000], [-3.298, 5.713, 0.000], [0.000, 0.000, 8.801]], "species": ["Na", "Na", "Na", "Te", "As", "As", "Pd", "Pd", "Pd", "Pd", "Pd", "Pd", "Pd", "Pd", "Pd"], "frac_coords": [[0.000, 0.000, 0.000], [0.333, 0.667, 0.706], [0.667, 0.333, 0.294], [0.000, 0.000, 0.500], [0.333, 0.667, 0.172], [0.667, 0.333, 0.828], [0.000, 0.500, 0.000], [0.142, 0.283, 0.266], [0.142, 0.858, 0.266], [0.283, 0.142, 0.734], [0.500, 0.000, 0.000], [0.500, 0.500, 0.000], [0.717, 0.858, 0.266], [0.858, 0.142, 0.734], [0.858, 0.717, 0.734]]}